No. 1
{
  "formula": "RbMoSCl2",
  "functional": "SCAN",
  "state": "PBEsol geometry",
  "dft_energy_ev_per_atom": -15.5203,
  "n_ef_per_ev_fu": 5.51,
  "cell": [[-5.300, 1.819, -0.747], [0.245, -1.516, -5.431], [-1.948, -5.124, 1.343]],
  "species": ["Mo", "Cl", "Rb", "Cl", "S"],
  "fractional_positions": [[0.500, 0.500, 0.500], [0.000, 0.500, 0.000], [0.000, 0.000, 0.000], [0.000, 0.000, 0.500], [0.500, 0.000, 0.000]]
}

=====

No. 2
{
  "formula": "ReMoCl2",
  "functional": "SCAN",
  "state": "PBEsol geometry",
  "dft_energy_ev_per_atom": -29.9250,
  "n_ef_per_ev_fu": 2.50,
  "cell": [[2.976, 0.000, 0.000], [0.000, 4.331, 0.000], [-1.488, -2.165, 6.275]],
  "species": ["Cl", "Re", "Mo", "Cl"],
  "fractional_positions": [[0.653, 0.653, 0.306], [0.000, 0.500, 0.000], [0.500, 0.000, 0.000], [0.347, 0.347, 0.694]]
}

=====

No. 3
{
  "formula": "ReMoCl2",
  "functional": "SCAN",
  "state": "PBEsol geometry",
  "dft_energy_ev_per_atom": -30.4769,
  "n_ef_per_ev_fu": 4.00,
  "cell": [[2.899, 0.000, 0.000], [0.000, 2.899, 0.000], [0.000, 0.000, 8.126]],
  "species": ["Mo", "Re", "Cl", "Cl"],
  "fractional_positions": [[0.000, 0.000, 0.516], [0.500, 0.500, 0.731], [0.000, 0.000, 0.937], [0.500, 0.500, 0.317]]
}

=====

No. 4
{
  "formula": "ReMoCl2",
  "functional": "SCAN",
  "state": "PBEsol geometry",
  "dft_energy_ev_per_atom": -28.9997,
  "n_ef_per_ev_fu": 4.09,
  "cell": [[4.282, 0.000, 0.000], [2.141, 3.708, 0.000], [2.141, 1.236, 3.496]],
  "species": ["Cl", "Re", "Mo", "Cl"],
  "fractional_positions": [[0.250, 0.250, 0.250], [0.500, 0.500, 0.500], [0.000, 0.000, 0.000], [0.750, 0.750, 0.750]]
}

=====

No. 5
{
  "formula": "ReMoCl2",
  "functional": "SCAN",
  "state": "PBEsol geometry",
  "dft_energy_ev_per_atom": -30.2764,
  "n_ef_per_ev_fu": 2.74,
  "cell": [[-2.173, -2.137, 0.376], [2.475, -0.670, -1.689], [4.310, -3.058, 7.531]],
  "species": ["Cl", "Mo", "Re", "Cl"],
  "fractional_positions": [[0.500, 0.500, 0.694], [0.000, 0.000, 0.476], [0.500, 0.500, 0.276], [0.000, 0.000, 0.054]]
}

=====

No. 6
{
  "formula": "Re4MoCl",
  "functional": "SCAN",
  "state": "PBEsol geometry",
  "dft_energy_ev_per_atom": -53.4449,
  "n_ef_per_ev_fu": 7.35,
  "cell": [[-4.795, -1.721, 0.816], [-1.542, -4.443, -2.122], [-0.782, -4.144, 2.973]],
  "species": ["Mo", "Re", "Cl", "Re", "Re", "Re"],
  "fractional_positions": [[0.000, 0.000, 0.000], [0.375, 0.874, 0.375], [0.750, 0.750, 0.750], [0.874, 0.375, 0.375], [0.375, 0.375, 0.874], [0.375, 0.375, 0.375]]
}

=====

No. 7
{
  "formula": "Re2TcMoCl",
  "functional": "SCAN",
  "state": "PBEsol geometry",
  "dft_energy_ev_per_atom": -41.6516,
  "n_ef_per_ev_fu": 4.95,
  "cell": [[-4.278, 1.142, 1.430], [-1.783, -3.602, -2.461], [0.503, -2.810, 3.749]],
  "species": ["Re", "Tc", "Re", "Mo", "Cl"],
  "fractional_positions": [[0.000, 0.000, 0.500], [0.500, 0.000, 0.000], [0.000, 0.500, 0.000], [0.000, 0.000, 0.000], [0.500, 0.500, 0.500]]
}

=====

No. 8
{
  "formula": "MoRh2Cl",
  "functional": "SCAN",
  "state": "PBEsol geometry",
  "dft_energy_ev_per_atom": -27.0432,
  "n_ef_per_ev_fu": 4.37,
  "cell": [[-3.895, 0.217, -1.828], [-1.323, -3.144, -2.632], [-3.122, -2.690, 1.256]],
  "species": ["Rh", "Cl", "Rh", "Mo"],
  "fractional_positions": [[0.000, 0.000, 0.000], [0.500, 0.500, 0.500], [0.250, 0.250, 0.250], [0.750, 0.750, 0.750]]
}

=====

No. 9
{
  "formula": "Mo2RhCl",
  "functional": "SCAN",
  "state": "PBEsol geometry",
  "dft_energy_ev_per_atom": -27.3882,
  "n_ef_per_ev_fu": 2.49,
  "cell": [[2.774, 0.000, 0.000], [0.000, 4.530, 0.000], [0.000, 0.000, 4.530]],
  "species": ["Cl", "Mo", "Rh", "Mo"],
  "fractional_positions": [[0.500, 0.000, 0.000], [0.000, 0.500, 0.000], [0.500, 0.500, 0.500], [0.000, 0.000, 0.500]]
}

=====

No. 10
{
  "formula": "MoRh2Cl",
  "functional": "SCAN",
  "state": "PBEsol geometry",
  "dft_energy_ev_per_atom": -26.9544,
  "n_ef_per_ev_fu": 4.99,
  "cell": [[-0.561, -2.121, 1.680], [1.579, -3.018, -3.282], [3.493, 1.361, 2.883]],
  "species": ["Cl", "Rh", "Mo", "Rh"],
  "fractional_positions": [[0.500, 0.000, 0.000], [0.000, 0.500, 0.000], [0.500, 0.500, 0.500], [0.000, 0.000, 0.500]]
}

=====

No. 11
{
  "formula": "Mo2RhCl",
  "functional": "SCAN",
  "state": "PBEsol geometry",
  "dft_energy_ev_per_atom": -27.6890,
  "n_ef_per_ev_fu": 3.37,
  "cell": [[2.828, 0.000, 0.000], [0.000, 2.828, 0.000], [0.000, 0.000, 7.522]],
  "species": ["Mo", "Rh", "Cl", "Mo"],
  "fractional_positions": [[0.000, 0.000, 0.986], [0.000, 0.000, 0.482], [0.500, 0.500, 0.775], [0.500, 0.500, 0.257]]
}

=====

No. 12
{
  "formula": "MoRh2Cl",
  "functional": "SCAN",
  "state": "PBEsol geometry",
  "dft_energy_ev_per_atom": -26.8450,
  "n_ef_per_ev_fu": 3.85,
  "cell": [[-1.022, 4.246, -0.008], [-4.156, 1.246, 0.500], [-1.265, 1.949, 3.698]],
  "species": ["Cl", "Rh", "Rh", "Mo"],
  "fractional_positions": [[0.000, 0.000, 0.000], [0.750, 0.750, 0.750], [0.250, 0.250, 0.250], [0.500, 0.500, 0.500]]
}

=====

No. 13
{
  "formula": "Mo2RhCl",
  "functional": "SCAN",
  "state": "PBEsol geometry",
  "dft_energy_ev_per_atom": -27.2731,
  "n_ef_per_ev_fu": 3.51,
  "cell": [[-2.445, -3.534, -0.523], [-0.602, -2.724, 3.310], [-3.873, -0.255, 1.916]],
  "species": ["Cl", "Mo", "Rh", "Mo"],
  "fractional_positions": [[0.000, 0.000, 0.000], [0.250, 0.250, 0.250], [0.500, 0.500, 0.500], [0.750, 0.750, 0.750]]
}

=====

| no. | uncorrected formation energy (eV/atom) |
| --- | --- |
| 1 | 0.7214 |
| 2 | 0.5597 |
| 3 | 0.0077 |
| 4 | 1.4849 |
| 5 | 0.2083 |
| 6 | 1.0972 |
| 7 | 2.3720 |
| 8 | 0.5583 |
| 9 | 0.4918 |
| 10 | 0.6471 |
| 11 | 0.1910 |
| 12 | 0.7566 |
| 13 | 0.6068 |